(1)
# LaSm6Ho2Er | the Alexandria database | PBE | optimized geometry
# - Calculated volume: 1348 Å³ per cell
# - Calculated density: 7580 kg/m3
# - Calculated total energy: -4.58 eV per atom
data_LaSm6Ho2Er
_chemical_formula_sum 'La4 Sm24 Ho8 Er4'
_cell_length_a 9.288
_cell_length_b 15.176
_cell_length_c 9.621
_cell_angle_alpha 90.00
_cell_angle_beta 96.32
_cell_angle_gamma 90.00
_space_group_name_H-M_alt 'C 1 2/c 1'
_space_group_IT_number 15
loop_
_space_group_symop_operation_xyz
'x,y,z'
'-x,-y,-z'
'-x,y,-z+1/2'
'x,-y,z+1/2'
'x+1/2,y+1/2,z'
'-x+1/2,-y+1/2,-z'
'-x+1/2,y+1/2,-z+1/2'
'x+1/2,-y+1/2,z+1/2'
loop_
_atom_site_label
_atom_site_type_symbol
_atom_site_fract_x
_atom_site_fract_y
_atom_site_fract_z
_atom_site_occupancy
La1 La 0.000 0.030 0.250 1
Sm1 Sm 0.063 0.182 0.944 1
Sm2 Sm 0.097 0.390 0.117 1
Sm3 Sm 0.215 0.226 0.317 1
Ho1 Ho 0.247 0.449 0.451 1
Er1 Er 0.000 0.411 0.750 1


(2)
# LaSmHoEr | the Alexandria database | PBE | optimized geometry
# - Calculated volume: 536 Å³ per cell
# - ΔE to the lowest computed polymorph: 0.000 eV/atom
# - Calculated density: 7697 kg/m3
# - Calculated total energy: -4.60 eV per atom
data_LaSmHoEr
_chemical_formula_sum 'La4 Sm4 Ho4 Er4'
_cell_length_a 8.125
_cell_length_b 8.125
_cell_length_c 8.125
_cell_angle_alpha 90.00
_cell_angle_beta 90.00
_cell_angle_gamma 90.00
_space_group_name_H-M_alt 'F -4 3 m'
_space_group_IT_number 216
_space_group_name_Hall 'F -4 2 3'
loop_
_atom_site_label
_atom_site_type_symbol
_atom_site_fract_x
_atom_site_fract_y
_atom_site_fract_z
_atom_site_occupancy
La1 La 0.000 0.000 0.000 1
Sm1 Sm 0.000 0.000 0.500 1
Ho1 Ho 0.250 0.250 0.750 1
Er1 Er 0.250 0.250 0.250 1


(3)
# LaSm3Ho2Er6 | the Alexandria database | PBE | optimized geometry
# - Calculated volume: 764 Å³ per cell
# - Calculated density: 8359 kg/m3
# - Calculated total energy: -4.61 eV per atom
data_LaSm3Ho2Er6
_chemical_formula_sum 'La2 Sm6 Ho4 Er12'
_cell_length_a 6.174
_cell_length_b 10.688
_cell_length_c 11.761
_cell_angle_alpha 90.00
_cell_angle_beta 100.04
_cell_angle_gamma 90.00
_space_group_name_H-M_alt 'C 1 2/m 1'
_space_group_IT_number 12
loop_
_space_group_symop_operation_xyz
'x,y,z'
'-x,-y,-z'
'-x,y,-z'
'x,-y,z'
'x+1/2,y+1/2,z'
'-x+1/2,-y+1/2,-z'
'-x+1/2,y+1/2,-z'
'x+1/2,-y+1/2,z'
loop_
_atom_site_label
_atom_site_type_symbol
_atom_site_fract_x
_atom_site_fract_y
_atom_site_fract_z
_atom_site_occupancy
La1 La 0.000 0.000 0.000 1
Sm1 Sm 0.000 0.167 0.500 1
Sm2 Sm 0.000 0.500 0.500 1
Ho1 Ho 0.000 0.333 0.000 1
Er1 Er 0.249 0.333 0.750 1
Er2 Er 0.249 0.500 0.250 1


(4)
# La5SmHoEr2 | the Alexandria database | PBE | optimized geometry
# - Calculated volume: 1274 Å³ per cell
# - Calculated density: 7007 kg/m3
# - Calculated total energy: -4.66 eV per atom
data_La5SmHoEr2
_chemical_formula_sum 'La20 Sm4 Ho4 Er8'
_cell_length_a 21.724
_cell_length_b 5.497
_cell_length_c 10.671
_cell_angle_alpha 90.00
_cell_angle_beta 90.06
_cell_angle_gamma 90.00
_space_group_name_H-M_alt 'C 1 m 1'
_space_group_IT_number 8
loop_
_space_group_symop_operation_xyz
'x,y,z'
'x,-y,z'
'x+1/2,y+1/2,z'
'x+1/2,-y+1/2,z'
loop_
_atom_site_label
_atom_site_type_symbol
_atom_site_fract_x
_atom_site_fract_y
_atom_site_fract_z
_atom_site_occupancy
La1 La 0.000 0.000 0.000 1
La2 La 0.000 0.000 0.379 1
La3 La 0.097 0.000 0.689 1
La4 La 0.220 0.000 0.939 1
La5 La 0.220 0.500 0.189 1
La6 La 0.221 0.000 0.439 1
La7 La 0.221 0.500 0.689 1
La8 La 0.344 0.000 0.190 1
La9 La 0.441 0.000 0.500 1
La10 La 0.441 0.000 0.880 1
Sm1 Sm 0.008 0.500 0.189 1
Sm2 Sm 0.433 0.500 0.690 1
Ho1 Ho 0.120 0.000 0.189 1
Ho2 Ho 0.321 0.000 0.689 1
Er1 Er 0.108 0.500 0.437 1
Er2 Er 0.108 0.500 0.940 1
Er3 Er 0.333 0.500 0.441 1
Er4 Er 0.333 0.500 0.938 1


(5)
# LaSmHoEr | the Alexandria database | PBE | optimized geometry
# - Calculated volume: 267 Å³ per cell
# - ΔE to the lowest computed polymorph: 0.004 eV/atom
# - Calculated density: 7725 kg/m3
# - Calculated total energy: -4.59 eV per atom
data_LaSmHoEr
_chemical_formula_sum 'La2 Sm2 Ho2 Er2'
_cell_length_a 12.470
_cell_length_b 5.891
_cell_length_c 3.810
_cell_angle_alpha 90.00
_cell_angle_beta 107.33
_cell_angle_gamma 90.00
_space_group_name_H-M_alt 'C 1 m 1'
_space_group_IT_number 8
loop_
_space_group_symop_operation_xyz
'x,y,z'
'x,-y,z'
'x+1/2,y+1/2,z'
'x+1/2,-y+1/2,z'
loop_
_atom_site_label
_atom_site_type_symbol
_atom_site_fract_x
_atom_site_fract_y
_atom_site_fract_z
_atom_site_occupancy
La1 La 0.000 0.000 0.000 1
Sm1 Sm 0.233 0.500 0.179 1
Ho1 Ho 0.255 0.000 0.710 1
Er1 Er 0.490 0.000 0.464 1


(6)
# La5SmHo2Er | the Alexandria database | PBE | optimized geometry
# - Calculated volume: 1275 Å³ per cell
# - Calculated density: 6990 kg/m3
# - Calculated total energy: -4.66 eV per atom
data_La5SmHo2Er
_chemical_formula_sum 'La20 Sm4 Ho8 Er4'
_cell_length_a 5.507
_cell_length_b 21.722
_cell_length_c 10.660
_cell_angle_alpha 90.00
_cell_angle_beta 90.00
_cell_angle_gamma 90.00
_space_group_name_H-M_alt 'C m c m'
_space_group_IT_number 63
_space_group_name_Hall '-C 2c 2'
loop_
_atom_site_label
_atom_site_type_symbol
_atom_site_fract_x
_atom_site_fract_y
_atom_site_fract_z
_atom_site_occupancy
La1 La 0.000 0.000 0.000 1
La2 La 0.000 0.123 0.250 1
La3 La 0.000 0.221 0.560 1
La4 La 0.000 0.499 0.250 1
Sm1 Sm 0.000 0.289 0.250 1
Ho1 Ho 0.000 0.387 0.000 1
Er1 Er 0.000 0.100 0.750 1


(7)
# LaSmHoEr2 | the Alexandria database | PBE | optimized geometry
# - Calculated volume: 700 Å³ per cell
# - Calculated density: 7483 kg/m3
# - Calculated total energy: -4.31 eV per atom
data_LaSmHoEr2
_chemical_formula_sum 'La4 Sm4 Ho4 Er8'
_cell_length_a 8.428
_cell_length_b 11.511
_cell_length_c 7.216
_cell_angle_alpha 90.00
_cell_angle_beta 90.00
_cell_angle_gamma 90.00
_space_group_name_H-M_alt 'C m c m'
_space_group_IT_number 63
_space_group_name_Hall '-C 2c 2'
loop_
_atom_site_label
_atom_site_type_symbol
_atom_site_fract_x
_atom_site_fract_y
_atom_site_fract_z
_atom_site_occupancy
La1 La 0.000 0.234 0.250 1
Sm1 Sm 0.000 0.500 0.250 1
Ho1 Ho 0.000 0.217 0.750 1
Er1 Er 0.188 0.000 0.000 1


(8)
# La2Sm2HoEr | the Alexandria database | PBE | optimized geometry
# - Calculated volume: 404 Å³ per cell
# - Calculated density: 7490 kg/m3
# - Calculated total energy: -4.68 eV per atom
data_La2Sm2HoEr
_chemical_formula_sum 'La4 Sm4 Ho2 Er2'
_cell_length_a 7.101
_cell_length_b 5.728
_cell_length_c 9.928
_cell_angle_alpha 90.00
_cell_angle_beta 90.00
_cell_angle_gamma 90.00
_space_group_name_H-M_alt 'P m m a'
_space_group_IT_number 51
loop_
_space_group_symop_operation_xyz
'x,y,z'
'-x,-y,-z'
'-x+1/2,-y,z'
'x+1/2,y,-z'
'x+1/2,-y,-z'
'-x+1/2,y,z'
'-x,y,-z'
'x,-y,z'
loop_
_atom_site_label
_atom_site_type_symbol
_atom_site_fract_x
_atom_site_fract_y
_atom_site_fract_z
_atom_site_occupancy
La1 La 0.000 0.000 0.000 1
La2 La 0.250 0.500 0.178 1
Sm1 Sm 0.250 0.000 0.333 1
Sm2 Sm 0.250 0.500 0.834 1
Ho1 Ho 0.250 0.000 0.657 1
Er1 Er 0.000 0.500 0.500 1


(9)
# La3SmHo6Er2 | the Alexandria database | PBE | optimized geometry
# - Calculated volume: 781 Å³ per cell
# - Calculated density: 8044 kg/m3
# - Calculated total energy: -4.65 eV per atom
data_La3SmHo6Er2
_chemical_formula_sum 'La6 Sm2 Ho12 Er4'
_cell_length_a 6.218
_cell_length_b 10.771
_cell_length_c 11.839
_cell_angle_alpha 90.00
_cell_angle_beta 100.08
_cell_angle_gamma 90.00
_space_group_name_H-M_alt 'C 1 2/m 1'
_space_group_IT_number 12
loop_
_space_group_symop_operation_xyz
'x,y,z'
'-x,-y,-z'
'-x,y,-z'
'x,-y,z'
'x+1/2,y+1/2,z'
'-x+1/2,-y+1/2,-z'
'-x+1/2,y+1/2,-z'
'x+1/2,-y+1/2,z'
loop_
_atom_site_label
_atom_site_type_symbol
_atom_site_fract_x
_atom_site_fract_y
_atom_site_fract_z
_atom_site_occupancy
La1 La 0.000 0.000 0.000 1
La2 La 0.000 0.333 0.000 1
Sm1 Sm 0.000 0.500 0.500 1
Ho1 Ho 0.247 0.000 0.745 1
Ho2 Ho 0.248 0.333 0.745 1
Er1 Er 0.000 0.167 0.500 1


(10)
# LaSm6HoEr2 | the Alexandria database | PBE | optimized geometry
# - Calculated volume: 1346 Å³ per cell
# - Calculated density: 7602 kg/m3
# - Calculated total energy: -4.58 eV per atom
data_LaSm6HoEr2
_chemical_formula_sum 'La4 Sm24 Ho4 Er8'
_cell_length_a 9.307
_cell_length_b 15.140
_cell_length_c 9.609
_cell_angle_alpha 90.00
_cell_angle_beta 96.18
_cell_angle_gamma 90.00
_space_group_name_H-M_alt 'C 1 2/c 1'
_space_group_IT_number 15
loop_
_space_group_symop_operation_xyz
'x,y,z'
'-x,-y,-z'
'-x,y,-z+1/2'
'x,-y,z+1/2'
'x+1/2,y+1/2,z'
'-x+1/2,-y+1/2,-z'
'-x+1/2,y+1/2,-z+1/2'
'x+1/2,-y+1/2,z+1/2'
loop_
_atom_site_label
_atom_site_type_symbol
_atom_site_fract_x
_atom_site_fract_y
_atom_site_fract_z
_atom_site_occupancy
La1 La 0.000 0.032 0.250 1
Sm1 Sm 0.063 0.181 0.944 1
Sm2 Sm 0.096 0.389 0.117 1
Sm3 Sm 0.217 0.226 0.318 1
Ho1 Ho 0.000 0.410 0.750 1
Er1 Er 0.247 0.450 0.450 1